Computed, not measured: a relaxed structure of VInNF2 at the GGA+U level of DFT.

```
5
Lattice="4.1973 0.0000 0.0000 0.0000 4.1973 0.0000 0.0000 0.0000 3.9069" Properties=species:S:1:pos:R:3 pbc="T T T"
V 0.0000 0.0000 0.0000
In 2.0986 2.0986 1.9534
N 0.0000 0.0000 1.9534
F 0.0000 2.0986 0.0000
F 2.0986 0.0000 0.0000
```

Values from the calculation:
The calculation puts the energy at -28.3 eV for the cell shown. For the density of states at the Fermi level, the calculation gives 0.305 states/eV/atom. As for the symmetry: No. 123. As for the energy above the most stable polymorph in this dataset: 0.00 eV/f.u.